(1)
# TiSeIN2 (PBE, relaxed)
# total moment: 0.0 μB/f.u.
# formation energy from raw total energies: 591 meV per atom
# polymorph energy (0 for the lowest one): 0.091 eV per atom
# final energy: -5.33 eV per atom
data_TiSeIN2
_cell_length_a 3.9454
_cell_length_b 3.9454
_cell_length_c 6.4716
_cell_angle_alpha 90.00
_cell_angle_beta 90.00
_cell_angle_gamma 90.00
_symmetry_space_group_name_H-M 'P 4/m m m'
_symmetry_Int_Tables_number 123
_symmetry_space_group_name_Hall '-P 4 2'
loop_
_atom_site_label
_atom_site_fract_x
_atom_site_fract_y
_atom_site_fract_z
_atom_site_occupancy
Ti1 0.0000 0.0000 0.0000 1
Se1 0.5000 0.5000 0.5000 1
I1 0.0000 0.0000 0.5000 1
N1 0.0000 0.5000 0.0000 1

=====

(2)
# TlCu3Ni (PBE, relaxed)
# total moment: 0.0 μB/f.u.
# DFT formation energy: 662.5 meV/atom
# polymorph energy (0 for the lowest one): 0.000 eV per atom
# final energy: -3.42 eV per atom
data_TlCu3Ni
_cell_length_a 4.4788
_cell_length_b 4.4788
_cell_length_c 4.4788
_cell_angle_alpha 90.00
_cell_angle_beta 90.00
_cell_angle_gamma 90.00
_symmetry_space_group_name_H-M 'P m -3 m'
_symmetry_Int_Tables_number 221
_symmetry_space_group_name_Hall '-P 4 2 3'
loop_
_atom_site_label
_atom_site_fract_x
_atom_site_fract_y
_atom_site_fract_z
_atom_site_occupancy
Tl1 0.0000 0.0000 0.0000 1
Cu1 0.0000 0.5000 0.5000 1
Ni1 0.5000 0.5000 0.5000 1

=====

(3)
# Er2Tm2Tl7 (PBE, relaxed)
# total moment: 0.0 μB/f.u.
# DFT formation energy: 52.2 meV/atom
# final energy: -3.10 eV per atom
data_Er2Tm2Tl7
_cell_length_a 11.6988
_cell_length_b 6.9630
_cell_length_c 8.3508
_cell_angle_alpha 90.00
_cell_angle_beta 90.09
_cell_angle_gamma 90.00
_symmetry_space_group_name_H-M 'C 1 2/m 1'
_symmetry_Int_Tables_number 12
loop_
_symmetry_equiv_pos_as_xyz
'x,y,z'
'-x,-y,-z'
'-x,y,-z'
'x,-y,z'
'x+1/2,y+1/2,z'
'-x+1/2,-y+1/2,-z'
'-x+1/2,y+1/2,-z'
'x+1/2,-y+1/2,z'
loop_
_atom_site_label
_atom_site_fract_x
_atom_site_fract_y
_atom_site_fract_z
_atom_site_occupancy
Er1 0.0000 0.2499 0.0000 1
Tm1 0.2331 0.0000 0.5000 1
Tl1 0.9999 0.0000 0.3102 1
Tl2 0.0000 0.5000 0.5000 1
Tl3 0.2501 0.2500 0.1851 1

=====

(4)
# CsLiTe3 (PBE, relaxed)
# total moment: 0.0 μB/f.u.
# formation energy from raw total energies: -315 meV per atom
# polymorph energy (0 for the lowest one): 0.000 eV per atom
# final energy: -2.75 eV per atom
data_CsLiTe3
_cell_length_a 5.4560
_cell_length_b 5.4560
_cell_length_c 5.4560
_cell_angle_alpha 90.00
_cell_angle_beta 90.00
_cell_angle_gamma 90.00
_symmetry_space_group_name_H-M 'P m -3 m'
_symmetry_Int_Tables_number 221
_symmetry_space_group_name_Hall '-P 4 2 3'
loop_
_atom_site_label
_atom_site_fract_x
_atom_site_fract_y
_atom_site_fract_z
_atom_site_occupancy
Cs1 0.0000 0.0000 0.0000 1
Li1 0.5000 0.5000 0.5000 1
Te1 0.0000 0.5000 0.5000 1

=====

(5)
# Nb2CoGe (PBE, relaxed)
# total moment: 0.0 μB/f.u.
# DFT formation energy: -328.8 meV/atom
# final energy: -8.29 eV per atom
data_Nb2CoGe
_cell_length_a 5.1286
_cell_length_b 3.7018
_cell_length_c 7.1110
_cell_angle_alpha 90.00
_cell_angle_beta 110.89
_cell_angle_gamma 90.00
_symmetry_space_group_name_H-M 'P 1 21/m 1'
_symmetry_Int_Tables_number 11
loop_
_symmetry_equiv_pos_as_xyz
'x,y,z'
'-x,-y,-z'
'-x,y+1/2,-z'
'x,-y+1/2,z'
loop_
_atom_site_label
_atom_site_fract_x
_atom_site_fract_y
_atom_site_fract_z
_atom_site_occupancy
Nb1 0.2048 0.2500 0.4209 1
Nb2 0.2641 0.7500 0.0728 1
Co1 0.1439 0.2500 0.8142 1
Ge1 0.3627 0.7500 0.7097 1

=====

(6)
# Y2TaPH (PBE, relaxed)
# total moment: 0.7 μB/f.u.
# final energy: -6.93 eV per atom
data_Y2TaPH
_cell_length_a 4.7721
_cell_length_b 4.7721
_cell_length_c 3.9320
_cell_angle_alpha 90.00
_cell_angle_beta 90.00
_cell_angle_gamma 90.00
_symmetry_space_group_name_H-M 'P 4/m m m'
_symmetry_Int_Tables_number 123
_symmetry_space_group_name_Hall '-P 4 2'
loop_
_atom_site_label
_atom_site_fract_x
_atom_site_fract_y
_atom_site_fract_z
_atom_site_occupancy
Y1 0.0000 0.5000 0.0000 1
Ta1 0.0000 0.0000 0.5000 1
P1 0.5000 0.5000 0.5000 1
H1 0.0000 0.0000 0.0000 1

=====

Which value of total moment does entry 4 give?
0.0 μB/f.u.

=====

Please write out number 5 again, unchanged.
# Nb2CoGe (PBE, relaxed)
# total moment: 0.0 μB/f.u.
# DFT formation energy: -328.8 meV/atom
# final energy: -8.29 eV per atom
data_Nb2CoGe
_cell_length_a 5.1286
_cell_length_b 3.7018
_cell_length_c 7.1110
_cell_angle_alpha 90.00
_cell_angle_beta 110.89
_cell_angle_gamma 90.00
_symmetry_space_group_name_H-M 'P 1 21/m 1'
_symmetry_Int_Tables_number 11
loop_
_symmetry_equiv_pos_as_xyz
'x,y,z'
'-x,-y,-z'
'-x,y+1/2,-z'
'x,-y+1/2,z'
loop_
_atom_site_label
_atom_site_fract_x
_atom_site_fract_y
_atom_site_fract_z
_atom_site_occupancy
Nb1 0.2048 0.2500 0.4209 1
Nb2 0.2641 0.7500 0.0728 1
Co1 0.1439 0.2500 0.8142 1
Ge1 0.3627 0.7500 0.7097 1

=====

total moment of number 3 (Er2Tm2Tl7)?
0.0 μB/f.u.

=====

Among the records above, which one has the highest total moment?
Y2TaPH